Material: PaTiAlMo
Method: DFT, PBE-GGA
State: optimized geometry

Geometry as extended XYZ:
```
4
Lattice="0.000 3.287 3.287 3.287 0.000 3.287 3.287 3.287 0.000" Properties=species:S:1:pos:R:3 pbc="T T T"
Pa 0.000 0.000 0.000
Ti 1.643 1.643 1.643
Al 3.287 3.287 3.287
Mo 4.930 4.930 4.930
```

Formation energy: -188 meV/atom
Symmetry: F-43m (216)

Material: InCo2Mo
Method: DFT, PBE-GGA
State: optimized geometry

Geometry as extended XYZ:
```
4
Lattice="1.420 0.820 8.413 -1.420 0.820 8.413 0.000 -1.639 8.413" Properties=species:S:1:pos:R:3 pbc="T T T"
In 0.000 0.000 0.000
Co 0.000 0.000 6.200
Co 0.000 0.000 19.039
Mo 0.000 0.000 12.619
```

Formation energy: 368 meV/atom
Symmetry: R-3m (166)

Material: YScZn2P
Method: DFT, PBE-GGA
State: optimized geometry

Geometry as extended XYZ:
```
5
Lattice="4.740 0.000 0.000 0.000 4.740 0.000 0.000 0.000 5.163" Properties=species:S:1:pos:R:3 pbc="T T T"
Y 0.000 0.000 0.000
Sc 2.370 2.370 0.000
Zn 0.000 2.370 2.581
Zn 2.370 0.000 2.581
P 0.000 0.000 2.581
```

Formation energy: 67 meV/atom
Symmetry: P4/mmm (123)

Material: CoTcCl2
Method: DFT, PBE-GGA
State: optimized geometry

Geometry as extended XYZ:
```
4
Lattice="-1.532 2.184 5.572 1.532 -2.184 5.572 1.532 2.184 -5.572" Properties=species:S:1:pos:R:3 pbc="T T T"
Co 0.000 0.000 0.000
Tc 1.532 0.000 1.793
Cl 0.000 0.000 4.044
Cl 0.000 2.184 1.651
```

Symmetry: Imm2 (44)
Excess energy over the best structure of this formula in the dataset: 197 kJ/mol of formula units
Raw formation energy: 0.49 eV per atom

> Which formula does entry 4 have?

CoTcCl2

Copy entry 2 word for word.
Material: InCo2Mo
Method: DFT, PBE-GGA
State: optimized geometry

Geometry as extended XYZ:
```
4
Lattice="1.420 0.820 8.413 -1.420 0.820 8.413 0.000 -1.639 8.413" Properties=species:S:1:pos:R:3 pbc="T T T"
In 0.000 0.000 0.000
Co 0.000 0.000 6.200
Co 0.000 0.000 19.039
Mo 0.000 0.000 12.619
```

Formation energy: 368 meV/atom
Symmetry: R-3m (166)